No. 1
! LiCoBr4, optimized geometry, DFT PBE-GGA; values from VASP
! E above lowest polymorph   1238.7 meV per atom
! Total DFT energy (no corrections)   -1.96 eV per atom
! DOS(E_F)   13.07 states/eV/cell
! Symmetry   F-43m, No. 216
&SYSTEM
  ibrav = 0, nat = 6, ntyp = 3
/
ATOMIC_SPECIES
Li 6.94 Li.upf
Co 58.93 Co.upf
Br 79.90 Br.upf
CELL_PARAMETERS angstrom
0.0000 4.5149 4.5149
4.5149 0.0000 4.5149
4.5149 4.5149 0.0000
ATOMIC_POSITIONS crystal
Li 0.0000 0.0000 0.0000
Co 0.2500 0.2500 0.2500
Br 0.1269 0.6244 0.6244
Br 0.6244 0.1269 0.6244
Br 0.6244 0.6244 0.1269
Br 0.6244 0.6244 0.6244

No. 2
! ZrZnPb2F, optimized geometry, DFT PBE-GGA; values from VASP
! Total DFT energy (no corrections)   -4.18 eV per atom
! DOS(E_F)   2.79 states/eV/cell
! Symmetry   P4/mmm, No. 123
&SYSTEM
  ibrav = 0, nat = 5, ntyp = 4
/
ATOMIC_SPECIES
Zr 91.22 Zr.upf
Zn 65.41 Zn.upf
Pb 207.20 Pb.upf
F 19.00 F.upf
CELL_PARAMETERS angstrom
5.0553 0.0000 0.0000
0.0000 5.0553 0.0000
0.0000 0.0000 4.2882
ATOMIC_POSITIONS crystal
Zr 0.0000 0.0000 0.0000
Zn 0.5000 0.5000 0.0000
Pb 0.0000 0.5000 0.5000
Pb 0.5000 0.0000 0.5000
F 0.5000 0.5000 0.5000

Copy entry 1 word for word.
! LiCoBr4, optimized geometry, DFT PBE-GGA; values from VASP
! E above lowest polymorph   1238.7 meV per atom
! Total DFT energy (no corrections)   -1.96 eV per atom
! DOS(E_F)   13.07 states/eV/cell
! Symmetry   F-43m, No. 216
&SYSTEM
  ibrav = 0, nat = 6, ntyp = 3
/
ATOMIC_SPECIES
Li 6.94 Li.upf
Co 58.93 Co.upf
Br 79.90 Br.upf
CELL_PARAMETERS angstrom
0.0000 4.5149 4.5149
4.5149 0.0000 4.5149
4.5149 4.5149 0.0000
ATOMIC_POSITIONS crystal
Li 0.0000 0.0000 0.0000
Co 0.2500 0.2500 0.2500
Br 0.1269 0.6244 0.6244
Br 0.6244 0.1269 0.6244
Br 0.6244 0.6244 0.1269
Br 0.6244 0.6244 0.6244